A relaxed BaCrClF2 crystal, computed with GGA+U.

final energy: -26.1 eV for the cell shown
theoretical density: 4.3 g/cm³
crystal system: tetragonal

```
BaCrClF2
1.0
4.444 0.000 0.000
0.000 4.444 0.000
0.000 0.000 5.155
Ba Cr Cl F
1 1 1 2
Cartesian
0.000 0.000 0.000
2.222 2.222 2.577
2.222 2.222 0.000
0.000 2.222 2.577
2.222 0.000 2.577
```